[1]
Here is a geometry-optimized SiHgIr3 structure from the Alexandria database. Energies are from PBE-GGA.

## Properties
For the energy above the most stable polymorph in this dataset, the calculation gives 0.0 kJ/mol of formula units. The total energy is -5.834 eV/atom. The calculated density comes out at 15.02 g/cm3. As for the total magnetization: 0.0 μB per formula unit. As for the formation energy without anion corrections: 0.63 eV per atom. The space group is Pm-3m (221).

abc: 4.465 4.465 4.465
angles: 90.00 90.00 90.00
Atoms (fractional coordinates):
Si 0.000 0.000 0.000
Ir 0.000 0.500 0.000
Ir 0.000 0.000 0.500
Ir 0.500 0.000 0.000
Hg 0.500 0.500 0.500

[2]
Here is a geometry-optimized TiNbAuO2 structure from the Alexandria database. Energies are from PBE-GGA.

## Properties
The total energy is -7.218 eV/atom. The calculated density comes out at 7.12 g/cm3. As for the total magnetization: 0.0 μB per formula unit. As for the formation energy without anion corrections: -0.99 eV per atom. The space group is P4/mmm (123).

abc: 3.905 5.655 3.905
angles: 90.00 90.00 90.00
Atoms (fractional coordinates):
Nb 0.000 0.000 0.000
Au 0.000 0.500 0.000
O 0.000 0.000 0.500
O 0.500 0.000 0.000
Ti 0.500 0.500 0.500

[3]
Here is a geometry-optimized Y3Zn2Ag structure from the Alexandria database. Energies are from PBE-GGA.

## Properties
The total energy is -4.488 eV/atom. The calculated density comes out at 6.00 g/cm3. As for the total magnetization: 0.0 μB per formula unit. The space group is P4/mmm (123). For the formation energy, the calculation gives -0.356 eV/atom.

abc: 3.601 3.601 10.782
angles: 90.00 90.00 90.00
Atoms (fractional coordinates):
Y 0.000 0.000 0.000
Y 0.000 0.000 0.674
Y 0.000 0.000 0.326
Zn 0.500 0.500 0.839
Zn 0.500 0.500 0.161
Ag 0.500 0.500 0.500

[4]
Here is a geometry-optimized Pm2Sb3PRh4 structure from the Alexandria database. Energies are from PBE-GGA.

## Properties
The total energy is -6.489 eV/atom. The calculated density comes out at 8.94 g/cm3. As for the total magnetization: 0.0 μB per formula unit. As for the formation energy without anion corrections: -0.82 eV per atom. The space group is P-4m2 (115).

abc: 4.445 4.445 10.322
angles: 90.00 90.00 90.00
Atoms (fractional coordinates):
Pm 0.500 0.000 0.260
Pm 0.000 0.500 0.740
Sb 0.000 0.000 0.500
Sb 0.500 0.000 0.861
Sb 0.000 0.500 0.139
P 0.500 0.500 0.500
Rh 0.500 0.500 0.000
Rh 0.000 0.000 0.000
Rh 0.500 0.000 0.611
Rh 0.000 0.500 0.389

Q: The lowest calculated density belongs to which entry?
A: Y3Zn2Ag

Q: Which of these has the lowest calculated density?
A: Y3Zn2Ag

Q: Which formula does entry 4 have?
A: Pm2Sb3PRh4